{
  "formula": "NdCo2Si4",
  "functional": "PBE",
  "state": "relaxed",
  "volume_a3_per_atom": 15.37,
  "formation_energy_uncorrected_kj_per_mol_fu": -359,
  "space_group": "Pnma",
  "lattice": [[3.879, 0.000, 0.000], [0.000, 6.326, 0.000], [0.000, 0.000, 17.534]],
  "species": ["Nd", "Nd", "Nd", "Nd", "Co", "Co", "Co", "Co", "Co", "Co", "Co", "Co", "Si", "Si", "Si", "Si", "Si", "Si", "Si", "Si", "Si", "Si", "Si", "Si", "Si", "Si", "Si", "Si"],
  "fractional_positions": [[0.750, 0.020, 0.640], [0.250, 0.980, 0.360], [0.250, 0.520, 0.860], [0.750, 0.480, 0.140], [0.250, 0.743, 0.529], [0.750, 0.257, 0.471], [0.750, 0.243, 0.971], [0.250, 0.757, 0.029], [0.250, 0.011, 0.800], [0.750, 0.989, 0.200], [0.750, 0.511, 0.700], [0.250, 0.489, 0.300], [0.250, 0.294, 0.716], [0.750, 0.706, 0.284], [0.750, 0.794, 0.784], [0.250, 0.206, 0.216], [0.250, 0.648, 0.655], [0.750, 0.352, 0.345], [0.750, 0.148, 0.845], [0.250, 0.852, 0.155], [0.250, 0.130, 0.523], [0.750, 0.870, 0.477], [0.750, 0.630, 0.977], [0.250, 0.370, 0.023], [0.250, 0.474, 0.438], [0.750, 0.526, 0.562], [0.750, 0.974, 0.062], [0.250, 0.026, 0.938]]
}


{
  "formula": "Ba3La3PmS8",
  "functional": "PBE",
  "state": "relaxed",
  "volume_a3_per_atom": 30.36,
  "formation_energy_uncorrected_kj_per_mol_fu": -3041,
  "space_group": "R-3m",
  "lattice": [[-0.887, 5.326, 6.552], [1.121, -8.298, 1.396], [6.774, 4.761, -2.951]],
  "species": ["Ba", "Ba", "Ba", "La", "La", "La", "Pm", "S", "S", "S", "S", "S", "S", "S", "S"],
  "fractional_positions": [[0.000, 0.000, 0.000], [0.000, 0.500, 0.000], [0.500, 0.500, 0.000], [0.500, 0.000, 0.500], [0.500, 0.500, 0.500], [0.000, 0.500, 0.500], [0.000, 0.000, 0.500], [0.258, 0.517, 0.275], [0.742, 0.483, 0.725], [0.766, 0.532, 0.286], [0.234, 0.468, 0.714], [0.766, 0.020, 0.286], [0.234, 0.980, 0.714], [0.254, 0.020, 0.286], [0.746, 0.980, 0.714]]
}


{
  "formula": "Ac8ZnPb5",
  "functional": "PBE",
  "state": "relaxed",
  "volume_a3_per_atom": 38.29,
  "ef_ev_per_atom": -0.454,
  "space_group": "I-4",
  "lattice": [[-0.669, 8.625, -1.934], [2.582, -4.499, -7.188], [-7.913, -2.942, 2.704]],
  "species": ["Ac", "Ac", "Ac", "Ac", "Ac", "Ac", "Ac", "Ac", "Zn", "Pb", "Pb", "Pb", "Pb", "Pb"],
  "fractional_positions": [[0.131, 0.747, 0.011], [0.989, 0.120, 0.736], [0.761, 0.244, 0.368], [0.632, 0.393, 0.876], [0.483, 0.607, 0.239], [0.616, 0.880, 0.869], [0.264, 0.253, 0.384], [0.124, 0.756, 0.517], [0.250, 0.500, 0.750], [0.000, 0.375, 0.129], [0.871, 0.871, 0.246], [0.754, 0.625, 0.625], [0.500, 0.000, 0.500], [0.375, 0.129, 0.000]]
}


{
  "formula": "Dy2Al7",
  "functional": "PBE",
  "state": "relaxed",
  "volume_a3_per_atom": 19.45,
  "ef_ev_per_atom": -0.301,
  "space_group": "R-3m",
  "lattice": [[5.512, 0.000, 0.000], [2.756, 4.774, 0.000], [2.756, 1.591, 13.308]],
  "species": ["Dy", "Dy", "Dy", "Dy", "Al", "Al", "Al", "Al", "Al", "Al", "Al", "Al", "Al", "Al", "Al", "Al", "Al", "Al"],
  "fractional_positions": [[0.054, 0.054, 0.839], [0.946, 0.946, 0.161], [0.150, 0.150, 0.550], [0.850, 0.850, 0.450], [0.500, 0.500, 0.500], [0.279, 0.279, 0.164], [0.721, 0.721, 0.836], [0.389, 0.389, 0.833], [0.611, 0.611, 0.167], [0.500, 0.000, 0.000], [0.000, 0.500, 0.000], [0.500, 0.500, 0.000], [0.613, 0.613, 0.667], [0.613, 0.106, 0.667], [0.106, 0.613, 0.667], [0.387, 0.387, 0.333], [0.387, 0.894, 0.333], [0.894, 0.387, 0.333]]
}


Which formula does entry 4 have? Dy2Al7